# 1
The following is a DFT calculation (PBEsol) of SmTlZn after structural relaxation.

Summary:
Mass density   10.114 g/cm3
Calculated formation energy   -36.9 kJ per mole of atoms

Cell lengths 4.6518, 4.6518, 7.3623 Å; angles 90.00, 90.00, 120.00 degrees
Closest atoms and distances in Å follow each position.
Fractional coordinates of all 6 atoms:
Sm (0.0000, 0.0000, 0.0000)  6 Tl 3.26, 6 Zn 3.26
Sm (0.0000, 0.0000, 0.5000)  6 Tl 3.26, 6 Zn 3.26
Tl (0.3333, 0.6667, 0.2500)  3 Zn 2.69
Tl (0.6667, 0.3333, 0.7500)  3 Zn 2.69
Zn (0.3333, 0.6667, 0.7500)  3 Tl 2.69
Zn (0.6667, 0.3333, 0.2500)  3 Tl 2.69

# 2
The following is a DFT calculation (PBEsol) of Te2Ru after structural relaxation.

Summary:
Mass density   9.146 g/cm3
Raw formation energy   -358 meV/atom

Cell lengths 6.3723, 6.3723, 6.3723 Å; angles 90.00, 90.00, 90.00 degrees
Closest atoms and distances in Å follow each position.
Fractional coordinates of all 12 atoms:
Te (0.1282, 0.1282, 0.1282)  3 Ru 2.64, 1 Te 2.83
Te (0.1282, 0.3718, 0.6282)  3 Ru 2.64, 1 Te 2.83
Te (0.3718, 0.6282, 0.1282)  3 Ru 2.64, 1 Te 2.83
Te (0.3718, 0.8718, 0.6282)  3 Ru 2.64, 1 Te 2.83
Te (0.6282, 0.1282, 0.3718)  3 Ru 2.64, 1 Te 2.83
Te (0.6282, 0.3718, 0.8718)  3 Ru 2.64, 1 Te 2.83
Te (0.8718, 0.6282, 0.3718)  3 Ru 2.64, 1 Te 2.83
Te (0.8718, 0.8718, 0.8718)  3 Ru 2.64, 1 Te 2.83
Ru (0.0000, 0.0000, 0.5000)  6 Te 2.64
Ru (0.0000, 0.5000, 0.0000)  6 Te 2.64
Ru (0.5000, 0.0000, 0.0000)  6 Te 2.64
Ru (0.5000, 0.5000, 0.5000)  6 Te 2.64

# 3
The following is a DFT calculation (PBEsol) of ScCd2Ge2 after structural relaxation.

Summary:
Mass density   6.489 g/cm3
Calculated formation energy   8.5 kJ per mole of atoms

Cell lengths 8.2771, 8.2771, 8.2771 Å; angles 154.34, 154.34, 36.61 degrees
Closest atoms and distances in Å follow each position.
Fractional coordinates of all 5 atoms:
Sc (0.0000, 0.0000, 0.0000)  8 Cd 3.05
Cd (0.3990, 0.3990, 0.0000)  4 Ge 2.98, 4 Sc 3.05, 1 Cd 3.17
Cd (0.6010, 0.6010, 0.0000)  4 Ge 2.98, 4 Sc 3.05, 1 Cd 3.17
Ge (0.2500, 0.7500, 0.5000)  4 Ge 2.60
Ge (0.7500, 0.2500, 0.5000)  4 Ge 2.60

# 4
The following is a DFT calculation (PBEsol) of NaZr3Si after structural relaxation.

Summary:
Mass density   4.254 g/cm3
Raw formation energy   390 meV/atom

Cell lengths 5.0235, 5.0235, 5.0235 Å; angles 90.00, 90.00, 90.00 degrees
Closest atoms and distances in Å follow each position.
Fractional coordinates of all 5 atoms:
Na (0.0000, 0.0000, 0.0000)  12 Zr 3.55
Zr (0.0000, 0.5000, 0.5000)  2 Si 2.51
Zr (0.5000, 0.0000, 0.5000)  2 Si 2.51
Zr (0.5000, 0.5000, 0.0000)  2 Si 2.51
Si (0.5000, 0.5000, 0.5000)  6 Zr 2.51

# 5
The following is a DFT calculation (PBEsol) of CsNbH2 after structural relaxation.

Summary:
Mass density   5.365 g/cm3
VASP energy   -0.11749 hartree per atom

Cell lengths 4.6373, 4.6373, 4.6373 Å; angles 60.00, 60.00, 60.00 degrees
Closest atoms and distances in Å follow each position.
Fractional coordinates of all 4 atoms:
Cs (0.0000, 0.0000, 0.0000)  8 H 2.84
Nb (0.5000, 0.5000, 0.5000)  8 H 2.84
H (0.2500, 0.2500, 0.2500)  4 Nb 2.84, 4 Cs 2.84
H (0.7500, 0.7500, 0.7500)  4 Nb 2.84, 4 Cs 2.84

# 6
The following is a DFT calculation (PBEsol) of RbW3Se after structural relaxation.

Summary:
Mass density   11.533 g/cm3
Raw formation energy   4069 meV/atom

Cell lengths 4.6888, 4.6888, 4.6888 Å; angles 90.00, 90.00, 90.00 degrees
Closest atoms and distances in Å follow each position.
Fractional coordinates of all 5 atoms:
Rb (0.0000, 0.0000, 0.0000)  6 W 2.34
W (0.0000, 0.0000, 0.5000)  2 Rb 2.34
W (0.0000, 0.5000, 0.0000)  2 Rb 2.34
W (0.5000, 0.0000, 0.0000)  2 Rb 2.34
Se (0.5000, 0.5000, 0.5000)  12 W 3.32

# 7
The following is a DFT calculation (PBEsol) of GdYHg2 after structural relaxation.

Summary:
Mass density   10.859 g/cm3
Calculated formation energy   -57.3 kJ per mole of atoms

Cell lengths 5.1924, 5.1924, 5.1924 Å; angles 60.00, 60.00, 60.00 degrees
Closest atoms and distances in Å follow each position.
Fractional coordinates of all 4 atoms:
Gd (0.0000, 0.0000, 0.0000)  8 Hg 3.18
Y (0.5000, 0.5000, 0.5000)  8 Hg 3.18
Hg (0.2500, 0.2500, 0.2500)  4 Gd 3.18, 4 Y 3.18
Hg (0.7500, 0.7500, 0.7500)  4 Gd 3.18, 4 Y 3.18

# 8
The following is a DFT calculation (PBEsol) of TaHg3Mo after structural relaxation.

Summary:
Mass density   11.115 g/cm3
Calculated formation energy   181.4 kJ per mole of atoms

Cell lengths 5.0822, 5.0822, 5.0822 Å; angles 90.00, 90.00, 90.00 degrees
Closest atoms and distances in Å follow each position.
Fractional coordinates of all 5 atoms:
Ta (0.0000, 0.0000, 0.0000)  12 Hg 3.59
Hg (0.0000, 0.5000, 0.5000)  2 Mo 2.54
Hg (0.5000, 0.0000, 0.5000)  2 Mo 2.54
Hg (0.5000, 0.5000, 0.0000)  2 Mo 2.54
Mo (0.5000, 0.5000, 0.5000)  6 Hg 2.54

# 9
The following is a DFT calculation (PBEsol) of SrIn2P2 after structural relaxation.

Summary:
Mass density   4.920 g/cm3
Calculated formation energy   -58.0 kJ per mole of atoms

Cell lengths 4.0844, 4.0844, 17.7186 Å; angles 90.00, 90.00, 120.00 degrees
Closest atoms and distances in Å follow each position.
Fractional coordinates of all 10 atoms:
Sr (0.0000, 0.0000, 0.0000)  6 P 3.04
Sr (0.0000, 0.0000, 0.5000)  6 P 3.04
In (0.3333, 0.6667, 0.1720)  3 P 2.62, 1 In 2.76
In (0.3333, 0.6667, 0.3280)  3 P 2.62, 1 In 2.76
In (0.6667, 0.3333, 0.6720)  3 P 2.62, 1 In 2.76
In (0.6667, 0.3333, 0.8280)  3 P 2.62, 1 In 2.76
P (0.3333, 0.6667, 0.6082)  3 In 2.62
P (0.3333, 0.6667, 0.8918)  3 In 2.62
P (0.6667, 0.3333, 0.1082)  3 In 2.62
P (0.6667, 0.3333, 0.3918)  3 In 2.62

# 10
The following is a DFT calculation (PBEsol) of MgTeC2 after structural relaxation.

Summary:
Mass density   5.607 g/cm3
Raw formation energy   1895 meV/atom

Cell lengths 4.1924, 4.1924, 4.1924 Å; angles 60.00, 60.00, 60.00 degrees
Closest atoms and distances in Å follow each position.
Fractional coordinates of all 4 atoms:
Mg (0.0000, 0.0000, 0.0000)  8 C 2.57
Te (0.5000, 0.5000, 0.5000)  8 C 2.57
C (0.2500, 0.2500, 0.2500)  4 Mg 2.57, 4 Te 2.57
C (0.7500, 0.7500, 0.7500)  4 Mg 2.57, 4 Te 2.57

# 11
The following is a DFT calculation (PBEsol) of BaTc2Rh after structural relaxation.

Summary:
Mass density   9.627 g/cm3
Relative energy among the computed polymorphs   751 meV/atom
Calculated formation energy   118.6 kJ per mole of atoms

Cell lengths 3.8060, 3.8060, 5.1945 Å; angles 90.00, 90.00, 90.00 degrees
Closest atoms and distances in Å follow each position.
Fractional coordinates of all 4 atoms:
Ba (0.0000, 0.0000, 0.0000)  4 Rh 2.69
Tc (0.0000, 0.5000, 0.5000)  4 Tc 2.69
Tc (0.5000, 0.0000, 0.5000)  4 Tc 2.69
Rh (0.5000, 0.5000, 0.0000)  4 Ba 2.69

# 12
The following is a DFT calculation (PBEsol) of Li6VF8 after structural relaxation.

Summary:
Mass density   2.958 g/cm3
Raw formation energy   -2814 meV/atom

Cell lengths 5.7906, 5.7906, 5.7906 Å; angles 60.00, 60.00, 60.00 degrees
Closest atoms and distances in Å follow each position.
Fractional coordinates of all 15 atoms:
Li (0.0000, 0.0000, 0.5000)  6 F 2.05
Li (0.0000, 0.5000, 0.0000)  6 F 2.05
Li (0.0000, 0.5000, 0.5000)  6 F 2.05
Li (0.5000, 0.0000, 0.0000)  6 F 2.05
Li (0.5000, 0.0000, 0.5000)  6 F 2.05
Li (0.5000, 0.5000, 0.0000)  6 F 2.05
V (0.0000, 0.0000, 0.0000)  6 F 2.02
F (0.2465, 0.2465, 0.7535)  1 V 2.02, 4 Li 2.05
F (0.2465, 0.7535, 0.2465)  1 V 2.02, 4 Li 2.05
F (0.2465, 0.7535, 0.7535)  1 V 2.02, 4 Li 2.05
F (0.2500, 0.2500, 0.2500)  6 Li 2.05
F (0.7500, 0.7500, 0.7500)  6 Li 2.05
F (0.7535, 0.2465, 0.2465)  1 V 2.02, 4 Li 2.05
F (0.7535, 0.2465, 0.7535)  1 V 2.02, 4 Li 2.05
F (0.7535, 0.7535, 0.2465)  1 V 2.02, 4 Li 2.05

# 13
The following is a DFT calculation (PBEsol) of MgGeO3 after structural relaxation.

Summary:
Mass density   4.809 g/cm3
Raw formation energy   -1717 meV/atom

Cell lengths 3.6853, 3.6853, 3.6853 Å; angles 90.00, 90.00, 90.00 degrees
Closest atoms and distances in Å follow each position.
Fractional coordinates of all 5 atoms:
Mg (0.0000, 0.0000, 0.0000)  12 O 2.61
Ge (0.5000, 0.5000, 0.5000)  6 O 1.84
O (0.0000, 0.5000, 0.5000)  2 Ge 1.84
O (0.5000, 0.0000, 0.5000)  2 Ge 1.84
O (0.5000, 0.5000, 0.0000)  2 Ge 1.84

# 14
The following is a DFT calculation (PBEsol) of FeTeHPd2 after structural relaxation.

Summary:
Mass density   7.734 g/cm3
VASP energy   -0.17835 hartree per atom

Cell lengths 4.9594, 4.9594, 3.4681 Å; angles 90.00, 90.00, 90.00 degrees
Closest atoms and distances in Å follow each position.
Fractional coordinates of all 5 atoms:
Fe (0.0000, 0.0000, 0.0000)  8 Pd 3.03
Te (0.5000, 0.5000, 0.5000)  2 H 1.73
H (0.5000, 0.5000, 0.0000)  2 Te 1.73
Pd (0.0000, 0.5000, 0.5000)  2 Te 2.48
Pd (0.5000, 0.0000, 0.5000)  2 Te 2.48

# 15
The following is a DFT calculation (PBEsol) of KBaOs2 after structural relaxation.

Summary:
Mass density   8.314 g/cm3
Relative energy among the computed polymorphs   0 meV/atom
Calculated formation energy   128.9 kJ per mole of atoms

Cell lengths 2.9073, 5.4281, 7.0480 Å; angles 90.00, 90.00, 90.00 degrees
Closest atoms and distances in Å follow each position.
Fractional coordinates of all 4 atoms:
K (0.0000, 0.0000, 0.0000)  2 K 2.91
Ba (0.0000, 0.0000, 0.5000)  2 Ba 2.91
Os (0.5000, 0.5000, 0.3398)  1 Os 2.26
Os (0.5000, 0.5000, 0.6602)  1 Os 2.26

# 16
The following is a DFT calculation (PBEsol) of La2PPb after structural relaxation.

Summary:
Mass density   7.093 g/cm3
Relative energy among the computed polymorphs   0 meV/atom
Calculated formation energy   -100.4 kJ per mole of atoms

Cell lengths 8.5165, 8.5165, 8.5165 Å; angles 28.07, 28.07, 28.07 degrees
Closest atoms and distances in Å follow each position.
Fractional coordinates of all 4 atoms:
La (0.2355, 0.2355, 0.2355)  3 P 2.92
La (0.7645, 0.7645, 0.7645)  3 P 2.92
P (0.5000, 0.5000, 0.5000)  6 La 2.92
Pb (0.0000, 0.0000, 0.0000)  6 La 3.38

# 17
The following is a DFT calculation (PBEsol) of SiPRu after structural relaxation.

Summary:
Mass density   6.672 g/cm3
Raw formation energy   117 meV/atom

Cell lengths 6.9332, 6.9332, 2.8719 Å; angles 90.00, 90.00, 120.00 degrees
Closest atoms and distances in Å follow each position.
Fractional coordinates of all 9 atoms:
Si (0.0000, 0.0000, 0.0000)  6 P 2.43
Si (0.3333, 0.6667, 0.5000)  3 P 2.50, 6 Ru 2.51
Si (0.6667, 0.3333, 0.5000)  3 P 2.50, 6 Ru 2.51
P (0.0000, 0.2834, 0.5000)  4 Si 2.43-2.50, 2 Ru 2.46
P (0.2834, 0.0000, 0.5000)  4 Si 2.43-2.50, 2 Ru 2.46
P (0.7166, 0.7166, 0.5000)  4 Si 2.43-2.50, 2 Ru 2.46
Ru (0.0000, 0.5717, 0.0000)  2 P 2.46, 4 Si 2.51
Ru (0.4283, 0.4283, 0.0000)  2 P 2.46, 4 Si 2.51
Ru (0.5717, 0.0000, 0.0000)  2 P 2.46, 4 Si 2.51

# 18
The following is a DFT calculation (PBEsol) of MgGaSeN2 after structural relaxation.

Summary:
Mass density   4.198 g/cm3
Raw formation energy   649 meV/atom

Cell lengths 3.8336, 3.8336, 5.4092 Å; angles 90.00, 90.00, 90.00 degrees
Closest atoms and distances in Å follow each position.
Fractional coordinates of all 5 atoms:
Mg (0.0000, 0.0000, 0.0000)  4 Se 2.71
Ga (0.5000, 0.5000, 0.5000)  4 N 1.92
Se (0.5000, 0.5000, 0.0000)  2 Ga 2.70, 4 Mg 2.71
N (0.0000, 0.5000, 0.5000)  2 Ga 1.92
N (0.5000, 0.0000, 0.5000)  2 Ga 1.92

# 19
The following is a DFT calculation (PBEsol) of DyAlCo4 after structural relaxation.

Summary:
Mass density   8.685 g/cm3
Relative energy among the computed polymorphs   6 meV/atom
Calculated formation energy   -23.8 kJ per mole of atoms

Cell lengths 4.9538, 4.9538, 3.8256 Å; angles 90.00, 90.00, 120.00 degrees
Closest atoms and distances in Å follow each position.
Fractional coordinates of all 6 atoms:
Dy (0.0000, 0.0000, 0.0000)  15 Co 2.86-3.13, 3 Al 2.86
Al (0.6667, 0.3333, 0.0000)  6 Co 2.41
Co (0.0077, 0.5039, 0.5000)  6 Co 2.37-2.53, 2 Al 2.41
Co (0.3333, 0.6667, 0.0000)  6 Co 2.37
Co (0.4961, 0.5039, 0.5000)  6 Co 2.37-2.53, 2 Al 2.41
Co (0.4961, 0.9923, 0.5000)  6 Co 2.37-2.53, 2 Al 2.41

# 20
The following is a DFT calculation (PBEsol) of Zn4Ru after structural relaxation.

Summary:
Mass density   8.974 g/cm3
Calculated formation energy   -5.1 kJ per mole of atoms

Cell lengths 4.7341, 4.7341, 4.7341 Å; angles 97.65, 97.65, 137.20 degrees
Closest atoms and distances in Å follow each position.
Fractional coordinates of all 5 atoms:
Zn (0.1042, 0.2980, 0.4023)  9 Zn 2.58-2.83, 3 Ru 2.62-2.77
Zn (0.2980, 0.8958, 0.1938)  9 Zn 2.58-2.83, 3 Ru 2.62-2.77
Zn (0.7020, 0.1042, 0.8062)  9 Zn 2.58-2.83, 3 Ru 2.62-2.77
Zn (0.8958, 0.7020, 0.5977)  9 Zn 2.58-2.83, 3 Ru 2.62-2.77
Ru (0.5000, 0.5000, 0.0000)  12 Zn 2.62-2.77